(1)
Entry from the Alexandria database: Y2B2MoRu5 after structural relaxation (GGA-PBE).

```
data_Y2B2MoRu5
_space_group_name_H-M_alt 'P 4/m b m'
_space_group_IT_number 127
_space_group_name_Hall '-P 4 2ab'
_cell_length_a 9.662
_cell_length_b 9.662
_cell_length_c 3.104
_cell_angle_alpha 90.00
_cell_angle_beta 90.00
_cell_angle_gamma 90.00
loop_
_atom_site_label
_atom_site_type_symbol
_atom_site_fract_x
_atom_site_fract_y
_atom_site_fract_z
Y1 Y 0.176 0.324 0.000
B1 B 0.120 0.620 0.000
Mo1 Mo 0.000 0.000 0.000
Ru1 Ru 0.000 0.500 0.500
Ru2 Ru 0.069 0.784 0.500
```

ΔH_f (0 K) = -396 meV per atom
E = -8.745 eV per atom

(2)
Entry from the Alexandria database: ZnB2Mo2Ru5 after structural relaxation (GGA-PBE).

```
data_ZnB2Mo2Ru5
_space_group_name_H-M_alt 'P 4/m b m'
_space_group_IT_number 127
_space_group_name_Hall '-P 4 2ab'
_cell_length_a 9.326
_cell_length_b 9.326
_cell_length_c 2.916
_cell_angle_alpha 90.00
_cell_angle_beta 90.00
_cell_angle_gamma 90.00
loop_
_atom_site_label
_atom_site_type_symbol
_atom_site_fract_x
_atom_site_fract_y
_atom_site_fract_z
Zn1 Zn 0.000 0.000 0.000
B1 B 0.126 0.374 0.000
Mo1 Mo 0.178 0.678 0.000
Ru1 Ru 0.000 0.500 0.500
Ru2 Ru 0.068 0.217 0.500
```

ΔH_f (0 K) = -228 meV per atom
E = -8.495 eV per atom

(3)
Entry from the Alexandria database: Zr2B2MoRu5 after structural relaxation (GGA-PBE).

```
data_Zr2B2MoRu5
_space_group_name_H-M_alt 'P 4/m b m'
_space_group_IT_number 127
_space_group_name_Hall '-P 4 2ab'
_cell_length_a 9.501
_cell_length_b 9.501
_cell_length_c 3.076
_cell_angle_alpha 90.00
_cell_angle_beta 90.00
_cell_angle_gamma 90.00
loop_
_atom_site_label
_atom_site_type_symbol
_atom_site_fract_x
_atom_site_fract_y
_atom_site_fract_z
Zr1 Zr 0.176 0.324 0.000
B1 B 0.121 0.621 0.000
Mo1 Mo 0.000 0.000 0.000
Ru1 Ru 0.000 0.500 0.500
Ru2 Ru 0.070 0.783 0.500
```

ΔH_f (0 K) = -535 meV per atom
E = -9.301 eV per atom

(4)
Entry from the Alexandria database: BMoS after structural relaxation (GGA-PBE).

```
data_BMoS
_space_group_name_H-M_alt 'C m c m'
_space_group_IT_number 63
_space_group_name_Hall '-C 2c 2'
_cell_length_a 2.953
_cell_length_b 19.280
_cell_length_c 3.002
_cell_angle_alpha 90.00
_cell_angle_beta 90.00
_cell_angle_gamma 90.00
loop_
_atom_site_label
_atom_site_type_symbol
_atom_site_fract_x
_atom_site_fract_y
_atom_site_fract_z
B1 B 0.000 0.018 0.250
Mo1 Mo 0.000 0.422 0.250
S1 S 0.000 0.155 0.250
```

Formation energy from raw total energies = -224 meV/atom
E = -7.436 eV per atom

(5)
Entry from the Alexandria database: B2MoS after structural relaxation (GGA-PBE).

```
data_B2MoS
_space_group_name_H-M_alt 'I -4 2 d'
_space_group_IT_number 122
_space_group_name_Hall 'I -4 2bw'
_cell_length_a 5.177
_cell_length_b 5.177
_cell_length_c 7.219
_cell_angle_alpha 90.00
_cell_angle_beta 90.00
_cell_angle_gamma 90.00
loop_
_atom_site_label
_atom_site_type_symbol
_atom_site_fract_x
_atom_site_fract_y
_atom_site_fract_z
B1 B 0.196 0.750 0.125
Mo1 Mo 0.000 0.000 0.500
S1 S 0.000 0.000 0.000
```

Formation energy from raw total energies = 690 meV/atom
E = -6.388 eV per atom

(6)
Entry from the Alexandria database: BMoS3 after structural relaxation (GGA-PBE).

```
data_BMoS3
_space_group_name_H-M_alt 'P m -3 m'
_space_group_IT_number 221
_space_group_name_Hall '-P 4 2 3'
_cell_length_a 4.126
_cell_length_b 4.126
_cell_length_c 4.126
_cell_angle_alpha 90.00
_cell_angle_beta 90.00
_cell_angle_gamma 90.00
loop_
_atom_site_label
_atom_site_type_symbol
_atom_site_fract_x
_atom_site_fract_y
_atom_site_fract_z
B1 B 0.000 0.000 0.000
Mo1 Mo 0.500 0.500 0.500
S1 S 0.000 0.000 0.500
```

Formation energy from raw total energies = 765 meV/atom
E = -5.213 eV per atom
Energy above the lowest structure with this stoichiometry = 0 meV per atom

(7)
Entry from the Alexandria database: BMoS3 after structural relaxation (GGA-PBE).

```
data_BMoS3
_space_group_name_H-M_alt 'P m -3 m'
_space_group_IT_number 221
_space_group_name_Hall '-P 4 2 3'
_cell_length_a 4.687
_cell_length_b 4.687
_cell_length_c 4.687
_cell_angle_alpha 90.00
_cell_angle_beta 90.00
_cell_angle_gamma 90.00
loop_
_atom_site_label
_atom_site_type_symbol
_atom_site_fract_x
_atom_site_fract_y
_atom_site_fract_z
B1 B 0.000 0.000 0.000
Mo1 Mo 0.500 0.500 0.500
S1 S 0.000 0.500 0.500
```

Formation energy from raw total energies = 921 meV/atom
E = -5.057 eV per atom
Energy above the lowest structure with this stoichiometry = 157 meV per atom

(8)
Entry from the Alexandria database: V2BMoS after structural relaxation (GGA-PBE).

```
data_V2BMoS
_space_group_name_H-M_alt 'P 4/m m m'
_space_group_IT_number 123
_space_group_name_Hall '-P 4 2'
_cell_length_a 4.324
_cell_length_b 4.324
_cell_length_c 3.657
_cell_angle_alpha 90.00
_cell_angle_beta 90.00
_cell_angle_gamma 90.00
loop_
_atom_site_label
_atom_site_type_symbol
_atom_site_fract_x
_atom_site_fract_y
_atom_site_fract_z
V1 V 0.000 0.500 0.000
B1 B 0.000 0.000 0.500
Mo1 Mo 0.500 0.500 0.500
S1 S 0.000 0.000 0.000
```

Formation energy from raw total energies = 841 meV/atom
E = -7.134 eV per atom

(9)
Entry from the Alexandria database: B2SbMo after structural relaxation (GGA-PBE).

```
data_B2SbMo
_space_group_name_H-M_alt 'I -4 2 d'
_space_group_IT_number 122
_space_group_name_Hall 'I -4 2bw'
_cell_length_a 5.203
_cell_length_b 5.203
_cell_length_c 9.757
_cell_angle_alpha 90.00
_cell_angle_beta 90.00
_cell_angle_gamma 90.00
loop_
_atom_site_label
_atom_site_type_symbol
_atom_site_fract_x
_atom_site_fract_y
_atom_site_fract_z
B1 B 0.222 0.250 0.125
Sb1 Sb 0.000 0.000 0.500
Mo1 Mo 0.000 0.000 0.000
```

Formation energy from raw total energies = 815 meV/atom
E = -6.262 eV per atom

(10)
Entry from the Alexandria database: BSbMo3 after structural relaxation (GGA-PBE).

```
data_BSbMo3
_space_group_name_H-M_alt 'P m -3 m'
_space_group_IT_number 221
_space_group_name_Hall '-P 4 2 3'
_cell_length_a 4.876
_cell_length_b 4.876
_cell_length_c 4.876
_cell_angle_alpha 90.00
_cell_angle_beta 90.00
_cell_angle_gamma 90.00
loop_
_atom_site_label
_atom_site_type_symbol
_atom_site_fract_x
_atom_site_fract_y
_atom_site_fract_z
B1 B 0.000 0.000 0.000
Sb1 Sb 0.500 0.500 0.500
Mo1 Mo 0.000 0.500 0.500
```

Formation energy from raw total energies = 2925 meV/atom
E = -5.734 eV per atom
Energy above the lowest structure with this stoichiometry = 2675 meV per atom

(11)
Entry from the Alexandria database: BSbMo3 after structural relaxation (GGA-PBE).

```
data_BSbMo3
_space_group_name_H-M_alt 'P m -3 m'
_space_group_IT_number 221
_space_group_name_Hall '-P 4 2 3'
_cell_length_a 4.267
_cell_length_b 4.267
_cell_length_c 4.267
_cell_angle_alpha 90.00
_cell_angle_beta 90.00
_cell_angle_gamma 90.00
loop_
_atom_site_label
_atom_site_type_symbol
_atom_site_fract_x
_atom_site_fract_y
_atom_site_fract_z
B1 B 0.000 0.000 0.000
Sb1 Sb 0.500 0.500 0.500
Mo1 Mo 0.000 0.000 0.500
```

Formation energy from raw total energies = 250 meV/atom
E = -8.409 eV per atom
Energy above the lowest structure with this stoichiometry = 0 meV per atom

(12)
Entry from the Alexandria database: BSb2Mo after structural relaxation (GGA-PBE).

```
data_BSb2Mo
_space_group_name_H-M_alt 'I -4 2 d'
_space_group_IT_number 122
_space_group_name_Hall 'I -4 2bw'
_cell_length_a 6.142
_cell_length_b 6.142
_cell_length_c 9.800
_cell_angle_alpha 90.00
_cell_angle_beta 90.00
_cell_angle_gamma 90.00
loop_
_atom_site_label
_atom_site_type_symbol
_atom_site_fract_x
_atom_site_fract_y
_atom_site_fract_z
B1 B 0.000 0.000 0.000
Sb1 Sb 0.191 0.250 0.125
Mo1 Mo 0.000 0.000 0.500
```

Formation energy from raw total energies = 864 meV/atom
E = -5.574 eV per atom

(13)
Entry from the Alexandria database: YBSbMo2 after structural relaxation (GGA-PBE).

```
data_YBSbMo2
_space_group_name_H-M_alt 'P 4/m m m'
_space_group_IT_number 123
_space_group_name_Hall '-P 4 2'
_cell_length_a 5.027
_cell_length_b 5.027
_cell_length_c 4.396
_cell_angle_alpha 90.00
_cell_angle_beta 90.00
_cell_angle_gamma 90.00
loop_
_atom_site_label
_atom_site_type_symbol
_atom_site_fract_x
_atom_site_fract_y
_atom_site_fract_z
Y1 Y 0.000 0.000 0.000
B1 B 0.000 0.000 0.500
Sb1 Sb 0.500 0.500 0.500
Mo1 Mo 0.000 0.500 0.000
```

Formation energy from raw total energies = 2245 meV/atom
E = -5.541 eV per atom

(14)
Entry from the Alexandria database: ScBMo2 after structural relaxation (GGA-PBE).

```
data_ScBMo2
_space_group_name_H-M_alt 'I -4 2 d'
_space_group_IT_number 122
_space_group_name_Hall 'I -4 2bw'
_cell_length_a 3.676
_cell_length_b 3.676
_cell_length_c 18.542
_cell_angle_alpha 90.00
_cell_angle_beta 90.00
_cell_angle_gamma 90.00
loop_
_atom_site_label
_atom_site_type_symbol
_atom_site_fract_x
_atom_site_fract_y
_atom_site_fract_z
Sc1 Sc 0.000 0.000 0.000
B1 B 0.000 0.000 0.500
Mo1 Mo 0.229 0.250 0.625
```

ΔH_f (0 K) = 606 meV per atom
E = -8.061 eV per atom

(15)
Entry from the Alexandria database: ScB3Mo after structural relaxation (GGA-PBE).

```
data_ScB3Mo
_space_group_name_H-M_alt 'C m c m'
_space_group_IT_number 63
_space_group_name_Hall '-C 2c 2'
_cell_length_a 3.332
_cell_length_b 19.305
_cell_length_c 3.116
_cell_angle_alpha 90.00
_cell_angle_beta 90.00
_cell_angle_gamma 90.00
loop_
_atom_site_label
_atom_site_type_symbol
_atom_site_fract_x
_atom_site_fract_y
_atom_site_fract_z
Sc1 Sc 0.000 0.071 0.250
B1 B 0.000 0.333 0.750
B2 B 0.000 0.382 0.250
B3 B 0.000 0.477 0.250
Mo1 Mo 0.000 0.206 0.750
```

ΔH_f (0 K) = -722 meV per atom
E = -8.161 eV per atom
Energy above the lowest structure with this stoichiometry = 0 meV per atom

(16)
Entry from the Alexandria database: ScB3Mo after structural relaxation (GGA-PBE).

```
data_ScB3Mo
_space_group_name_H-M_alt 'P m -3 m'
_space_group_IT_number 221
_space_group_name_Hall '-P 4 2 3'
_cell_length_a 4.004
_cell_length_b 4.004
_cell_length_c 4.004
_cell_angle_alpha 90.00
_cell_angle_beta 90.00
_cell_angle_gamma 90.00
loop_
_atom_site_label
_atom_site_type_symbol
_atom_site_fract_x
_atom_site_fract_y
_atom_site_fract_z
Sc1 Sc 0.000 0.000 0.000
B1 B 0.000 0.000 0.500
Mo1 Mo 0.500 0.500 0.500
```

ΔH_f (0 K) = 2055 meV per atom
E = -5.384 eV per atom
Energy above the lowest structure with this stoichiometry = 2777 meV per atom

(17)
Entry from the Alexandria database: Sc3B7Mo after structural relaxation (GGA-PBE).

```
data_Sc3B7Mo
_space_group_name_H-M_alt 'C m c m'
_space_group_IT_number 63
_space_group_name_Hall '-C 2c 2'
_cell_length_a 3.314
_cell_length_b 15.134
_cell_length_c 9.179
_cell_angle_alpha 90.00
_cell_angle_beta 90.00
_cell_angle_gamma 90.00
loop_
_atom_site_label
_atom_site_type_symbol
_atom_site_fract_x
_atom_site_fract_y
_atom_site_fract_z
Sc1 Sc 0.000 0.108 0.057
Sc2 Sc 0.000 0.245 0.750
B1 B 0.000 0.271 0.032
B2 B 0.000 0.364 0.147
B3 B 0.000 0.444 0.750
B4 B 0.000 0.484 0.090
Mo1 Mo 0.000 0.051 0.750
```

ΔH_f (0 K) = -731 meV per atom
E = -7.691 eV per atom

(18)
Entry from the Alexandria database: ScBMo3 after structural relaxation (GGA-PBE).

```
data_ScBMo3
_space_group_name_H-M_alt 'P m -3 m'
_space_group_IT_number 221
_space_group_name_Hall '-P 4 2 3'
_cell_length_a 4.289
_cell_length_b 4.289
_cell_length_c 4.289
_cell_angle_alpha 90.00
_cell_angle_beta 90.00
_cell_angle_gamma 90.00
loop_
_atom_site_label
_atom_site_type_symbol
_atom_site_fract_x
_atom_site_fract_y
_atom_site_fract_z
Sc1 Sc 0.000 0.000 0.000
B1 B 0.500 0.500 0.500
Mo1 Mo 0.000 0.500 0.500
```

ΔH_f (0 K) = 131 meV per atom
E = -8.969 eV per atom
Energy above the lowest structure with this stoichiometry = 0 meV per atom

(19)
Entry from the Alexandria database: ScBMo3 after structural relaxation (GGA-PBE).

```
data_ScBMo3
_space_group_name_H-M_alt 'P m -3 m'
_space_group_IT_number 221
_space_group_name_Hall '-P 4 2 3'
_cell_length_a 4.556
_cell_length_b 4.556
_cell_length_c 4.556
_cell_angle_alpha 90.00
_cell_angle_beta 90.00
_cell_angle_gamma 90.00
loop_
_atom_site_label
_atom_site_type_symbol
_atom_site_fract_x
_atom_site_fract_y
_atom_site_fract_z
Sc1 Sc 0.000 0.000 0.000
B1 B 0.500 0.500 0.500
Mo1 Mo 0.000 0.000 0.500
```

ΔH_f (0 K) = 2769 meV per atom
E = -6.332 eV per atom
Energy above the lowest structure with this stoichiometry = 2638 meV per atom

(20)
Entry from the Alexandria database: ScB6Mo6 after structural relaxation (GGA-PBE).

```
data_ScB6Mo6
_space_group_name_H-M_alt 'I m m m'
_space_group_IT_number 71
_space_group_name_Hall '-I 2 2'
_cell_length_a 4.741
_cell_length_b 7.641
_cell_length_c 8.237
_cell_angle_alpha 90.00
_cell_angle_beta 90.00
_cell_angle_gamma 90.00
loop_
_atom_site_label
_atom_site_type_symbol
_atom_site_fract_x
_atom_site_fract_y
_atom_site_fract_z
Sc1 Sc 0.000 0.000 0.000
B1 B 0.000 0.261 0.500
B2 B 0.250 0.250 0.250
Mo1 Mo 0.000 0.000 0.347
Mo2 Mo 0.000 0.337 0.000
Mo3 Mo 0.000 0.500 0.322
```

ΔH_f (0 K) = 116 meV per atom
E = -8.452 eV per atom

(21)
Entry from the Alexandria database: ScB3Mo after structural relaxation (GGA-PBE).

```
data_ScB3Mo
_space_group_name_H-M_alt 'P m -3 m'
_space_group_IT_number 221
_space_group_name_Hall '-P 4 2 3'
_cell_length_a 4.098
_cell_length_b 4.098
_cell_length_c 4.098
_cell_angle_alpha 90.00
_cell_angle_beta 90.00
_cell_angle_gamma 90.00
loop_
_atom_site_label
_atom_site_type_symbol
_atom_site_fract_x
_atom_site_fract_y
_atom_site_fract_z
Sc1 Sc 0.000 0.000 0.000
B1 B 0.000 0.500 0.500
Mo1 Mo 0.500 0.500 0.500
```

ΔH_f (0 K) = 509 meV per atom
E = -6.930 eV per atom
Energy above the lowest structure with this stoichiometry = 1231 meV per atom

(22)
Entry from the Alexandria database: ScB2Mo2 after structural relaxation (GGA-PBE).

```
data_ScB2Mo2
_space_group_name_H-M_alt 'P 4/m b m'
_space_group_IT_number 127
_space_group_name_Hall '-P 4 2ab'
_cell_length_a 6.129
_cell_length_b 6.129
_cell_length_c 3.201
_cell_angle_alpha 90.00
_cell_angle_beta 90.00
_cell_angle_gamma 90.00
loop_
_atom_site_label
_atom_site_type_symbol
_atom_site_fract_x
_atom_site_fract_y
_atom_site_fract_z
Sc1 Sc 0.000 0.000 0.000
B1 B 0.106 0.394 0.000
Mo1 Mo 0.172 0.672 0.500
```

ΔH_f (0 K) = -445 meV per atom
E = -8.714 eV per atom

(23)
Entry from the Alexandria database: Sc2B6Mo after structural relaxation (GGA-PBE).

```
data_Sc2B6Mo
_space_group_name_H-M_alt 'P 6/m m m'
_space_group_IT_number 191
_space_group_name_Hall '-P 6 2'
_cell_length_a 5.3462
_cell_length_b 5.3462
_cell_length_c 3.4197
_cell_angle_alpha 90.00
_cell_angle_beta 90.00
_cell_angle_gamma 120.00
loop_
_atom_site_label
_atom_site_type_symbol
_atom_site_fract_x
_atom_site_fract_y
_atom_site_fract_z
Sc1 Sc 0.3333 0.6667 0.0000
B1 B 0.0000 0.3298 0.5000
Mo1 Mo 0.0000 0.0000 0.0000
```

ΔH_f (0 K) = -789 meV per atom
E = -7.852 eV per atom